No. 1
{"formula": "Re2OsPt", "functional": "GGA-PBE", "state": "optimized geometry", "polymorph_energy_ev_per_atom": 0.5424, "delta_e_f_ev_per_fu": 1.75, "space_group": "No. 216", "lattice": [[-3.560, 0.595, -2.539], [-2.627, -3.415, -0.952], [-4.036, -0.239, 1.768]], "species": ["Os", "Pt", "Re", "Re"], "fractional_positions": [[0.500, 0.500, 0.500], [0.750, 0.750, 0.750], [0.000, 0.000, 0.000], [0.250, 0.250, 0.250]]}


No. 2
{"formula": "Re2OsPt", "functional": "GGA-PBE", "state": "optimized geometry", "polymorph_energy_ev_per_atom": 0.1132, "delta_e_f_ev_per_fu": 0.03, "space_group": "No. 139", "lattice": [[-1.848, -4.318, 0.931], [2.095, -1.869, 3.879], [-2.038, 4.256, -0.811]], "species": ["Os", "Pt", "Re", "Re"], "fractional_positions": [[0.250, 0.750, 0.500], [0.750, 0.250, 0.500], [0.000, 0.000, 0.000], [0.500, 0.500, 0.000]]}


No. 3
{"formula": "Re2OsPt", "functional": "GGA-PBE", "state": "optimized geometry", "polymorph_energy_ev_per_atom": 0.1176, "delta_e_f_ev_per_fu": 0.05, "space_group": "No. 119", "lattice": [[4.750, 0.005, -0.001], [1.505, 4.505, 0.001], [-3.127, -2.255, 2.775]], "species": ["Os", "Pt", "Re", "Re"], "fractional_positions": [[0.500, 0.500, 0.000], [0.750, 0.250, 0.500], [0.000, 0.000, 0.000], [0.250, 0.750, 0.500]]}